VASP calculation (PBE with a Hubbard U) on Ba2FeReO6 after structural relaxation.

POSCAR file:
```
Ba2FeReO6
1.0
-2.931 2.931 4.059
2.931 -2.931 4.059
2.931 2.931 -4.059
Ba Fe Re O
2 1 1 6
Direct
0.250 0.750 0.500 Ba
0.750 0.250 0.500 Ba
0.000 0.000 0.000 Fe
0.500 0.500 0.000 Re
0.257 0.257 0.000 O
0.266 0.266 0.533 O
0.266 0.734 0.000 O
0.734 0.266 0.000 O
0.734 0.734 0.467 O
0.743 0.743 0.000 O
```

Values from the calculation:
Fermi-level density of states: 3.116 states/eV/f.u.
magnetization: 3.0 μB/cell
theoretical density: 7.3 g cm⁻³
raw total energy: -73.28 eV per cell
energy relative to the lowest polymorph listed for this composition: 0.000 eV per atom